PBE CaTbAgPd, optimized geometry; ΔE_f = -0.529 eV/atom; total moment = 0.000 μB per atom
1.0
-2.081 -2.381 -3.969
2.537 -0.319 -4.383
1.855 -4.466 -1.538
Tb Pd Ca Ag
1 1 1 1
direct
0.000 0.000 0.000
0.750 0.750 0.750
0.500 0.500 0.500
0.250 0.250 0.250